{
  "formula": "AcSmDyZn",
  "functional": "GGA-PBE",
  "state": "relaxed",
  "m_tot_mub_per_cell": 0.00,
  "dos_ef_per_ev_fu": 6.16,
  "sg": "No. 216",
  "final_energy_ev_per_cell": -14.02,
  "volume_a3_per_atom": 30.39,
  "de_polymorph_kj_per_mol_fu": 114,
  "cell": [[0.0000, 3.9319, 3.9319], [3.9319, 0.0000, 3.9319], [3.9319, 3.9319, 0.0000]],
  "species": ["Ac", "Sm", "Dy", "Zn"],
  "fractional_positions": [[0.0000, 0.0000, 0.0000], [0.2500, 0.2500, 0.2500], [0.7500, 0.7500, 0.7500], [0.5000, 0.5000, 0.5000]]
}